A plane-wave DFT calculation with GGA-PBE was carried out for a relaxed structure of RbRuS3.

Formation energy (no corrections) (eV per atom): -0.130
Symmetry: Pm-3m, No. 221
Offset from the most stable computed form (meV/atom): 0
Total moment (μB per formula unit): 3.36

abc: 4.8053 4.8053 4.8053
angles: 90.00 90.00 90.00
Closest atoms and distances in Å follow each position.
Atoms (fractional coordinates):
Rb: 0.5000 0.5000 0.5000  12 S 3.40
Ru: 0.0000 0.0000 0.0000  6 S 2.40
S: 0.0000 0.0000 0.5000  2 Ru 2.40
S: 0.0000 0.5000 0.0000  2 Ru 2.40
S: 0.5000 0.0000 0.0000  2 Ru 2.40